Compound: TlIrO2F
Source: the Alexandria database
Functional: meta-GGA SCAN
Structure: single point on PBEsol structure

Cell: 4.2277 4.2277 4.2459 Å, 90.00 90.00 90.00°
Closest atoms and distances in Å follow each position.
Space group P4/mmm (No. 123)
One atom of each set of equivalent atoms:
1 Tl 0.0000 0.0000 0.0000  4 O 2.11, 2 F 2.12
2 Ir 0.5000 0.5000 0.5000  4 F 2.99, 8 O 3.00
3 O 0.0000 0.5000 0.0000  2 Tl 2.11
4 F 0.0000 0.0000 0.5000  2 Tl 2.12

Values from the calculation:
- calculated total energy (eV/cell) = -156.769
- raw formation energy (meV/atom) = 538.2
- theoretical density (g/cm³) = 9.794
- D(E_F) (states/eV per atom) = 0.204
- spin magnetization (μB/cell) = 3.036